Entry from Alexandria: a relaxed structure of Li2NiPCO7 (PBE+U).

POSCAR file:
```
Li2NiPCO7
1.0
6.2733 0.0000 0.0000
0.0000 5.0062 0.0036
0.0000 0.4507 8.4675
O Ni Li C P
14 2 4 2 2
Direct
0.7500 0.5420 0.1631 O
0.0553 0.8231 0.3261 O
0.2500 0.0219 0.8834 O
0.2500 0.2921 0.0893 O
0.7500 0.1848 0.4090 O
0.5553 0.1769 0.6739 O
0.7500 0.7079 0.9107 O
0.7500 0.9781 0.1166 O
0.4447 0.8231 0.3261 O
0.7500 0.5980 0.5654 O
0.2500 0.4020 0.4346 O
0.2500 0.4580 0.8369 O
0.9447 0.1769 0.6739 O
0.2500 0.8152 0.5910 O
0.7500 0.7959 0.3473 Ni
0.2500 0.2041 0.6527 Ni
0.0008 0.2257 0.2356 Li
0.9992 0.7743 0.7644 Li
0.4992 0.2257 0.2356 Li
0.5008 0.7743 0.7644 Li
0.7500 0.7448 0.0568 C
0.2500 0.2552 0.9432 C
0.2500 0.7127 0.4209 P
0.7500 0.2873 0.5791 P
```

Calculated values
Raw total energy in eV/atom: -6.361
Total moment in μB per atom: 0.25